{
  "formula": "HfMnCuF2",
  "functional": "GGA+U",
  "state": "relaxed",
  "lattice": [[4.0676, 0.0000, 0.0000], [0.0000, 5.4623, 0.0000], [0.0000, 0.0000, 4.0676]],
  "species": ["F", "F", "Cu", "Hf", "Mn"],
  "fractional_positions": [[0.0000, 0.0000, 0.5000], [0.5000, 0.0000, 0.0000], [0.0000, 0.5000, 0.0000], [0.0000, 0.0000, 0.0000], [0.5000, 0.5000, 0.5000]],
  "energy_ev_per_cell": -31.8,
  "dos_at_fermi_per_ev_atom": 0.63
}